Below is a geometry-optimized RbCr3C4O12 structure, with properties calculated at the GGA+U level.

Lattice parameters (Å, degrees): 6.289 6.289 6.289 100.74 100.74 100.74
Positions (direct):
1 Rb 0.000 0.000 0.000
2 Cr 0.000 0.544 0.456
3 Cr 0.456 0.000 0.544
4 Cr 0.544 0.456 0.000
5 C 0.044 0.500 0.956
6 C 0.500 0.500 0.500
7 C 0.500 0.956 0.044
8 C 0.956 0.044 0.500
9 O 0.007 0.216 0.422
10 O 0.095 0.905 0.500
11 O 0.216 0.422 0.007
12 O 0.366 0.634 0.500
13 O 0.422 0.007 0.216
14 O 0.500 0.095 0.905
15 O 0.500 0.366 0.634
16 O 0.578 0.784 0.993
17 O 0.634 0.500 0.366
18 O 0.784 0.993 0.578
19 O 0.905 0.500 0.095
20 O 0.993 0.578 0.784

Values from the calculation:
* DFT total energy: -150.7 eV per cell
* spin magnetization: 0.5500 μB per atom
* density of states at the Fermi level: 3.02 states/eV/cell

---

Below is a geometry-optimized VBiC2O structure, with properties calculated at the GGA+U level.

Lattice parameters (Å, degrees): 4.119 4.119 3.743 90.00 90.00 90.00
Positions (direct):
1 V 0.000 0.000 0.000
2 Bi 0.500 0.500 0.500
3 C 0.000 0.500 0.000
4 C 0.500 0.000 0.000
5 O 0.000 0.000 0.500

Values from the calculation:
* DFT total energy: -30.3 eV per cell
* spin magnetization: 0.0000 μB per atom
* density of states at the Fermi level: 1.60 states/eV/cell

---

Q: Number 2 is which compound?
A: VBiC2O

---

Q: Look up the spin magnetization of the first one.
A: 0.5500 μB per atom

---

Q: Which of these has the lowest DFT total energy?
A: RbCr3C4O12

---

Q: density of states at the Fermi level of number 1 (RbCr3C4O12)?
A: 3.02 states/eV/cell